Here is a geometry-optimized Th2CS structure from Alexandria via LeMat-Bulk. Energies are from PBE-GGA.

Summary:
ΔE_f (raw) = -4.80 eV/f.u.
Space-group type = R-3m, No. 166
Crystal system = trigonal
Total magnetization = 0.0 Bohr magnetons per cell

Cell: 7.044 7.044 7.044 Å, 31.77 31.77 31.77°
Positions (direct):
Th1 0.237 0.237 0.237
Th2 0.763 0.763 0.763
C1 0.500 0.500 0.500
S1 0.000 0.000 0.000